# 1
First-principles (PBEsol) data for a relaxed structure of BaAuN2F, as listed in Alexandria.

Lattice parameters (Å, degrees): 3.941 3.941 5.197 90.00 90.00 90.00
Space group P4/mmm (No. 123)
One atom of each set of equivalent atoms:
Ba: 0.000 0.000 0.000
Au: 0.500 0.500 0.500
N: 0.000 0.500 0.500
F: 0.500 0.500 0.000

The calculation puts the formation energy from raw total energies at -197 meV/atom. For the total moment, the calculation gives 2.14 μB/f.u.

---

# 2
First-principles (PBEsol) data for a relaxed structure of Rb2NaPbF6, as listed in Alexandria.

Lattice parameters (Å, degrees): 8.931 8.931 8.931 90.00 90.00 90.00
Space group Fm-3m (No. 225)
One atom of each set of equivalent atoms:
Rb: 0.250 0.250 0.250
Na: 0.000 0.000 0.000
Pb: 0.000 0.000 0.500
F: 0.000 0.000 0.251

The calculation puts the formation energy from raw total energies at -2500 meV/atom. For the total moment, the calculation gives 0.51 μB/f.u.

---

# 3
First-principles (PBEsol) data for a relaxed structure of Ti2AlCdFe, as listed in Alexandria.

Lattice parameters (Å, degrees): 4.391 4.391 4.542 90.00 90.00 90.00
Space group P4/mmm (No. 123)
One atom of each set of equivalent atoms:
Ti: 0.000 0.500 0.000
Al: 0.000 0.000 0.500
Cd: 0.500 0.500 0.500
Fe: 0.000 0.000 0.000

The calculation puts the formation enthalpy at 0 K at 142 meV per atom. For the total moment, the calculation gives 0.00 μB/f.u.

---

# 4
First-principles (PBEsol) data for a relaxed structure of BeCd2Hg, as listed in Alexandria.

Lattice parameters (Å, degrees): 3.376 4.227 5.331 90.00 103.12 90.00
Space group Pm (No. 6)
One atom of each set of equivalent atoms:
Be: 0.000 0.000 0.000
Cd: 0.221 0.000 0.507
Cd: 0.519 0.500 0.205
Hg: 0.835 0.500 0.754

The calculation puts the energy above the most stable polymorph in this dataset at 19.0 meV per atom. The calculation puts the formation enthalpy at 0 K at 254 meV per atom. For the total moment, the calculation gives 0.00 μB/f.u.

---

# 5
First-principles (PBEsol) data for a relaxed structure of Na3V24O58, as listed in Alexandria.

Lattice parameters (Å, degrees): 7.200 10.113 14.113 101.33 97.33 90.00
Space group P1 (No. 1)
One atom of each set of equivalent atoms:
Na: 0.000 0.000 0.000
Na: 0.126 0.965 0.508
Na: 0.500 0.801 0.005
V: 0.031 0.490 0.126
V: 0.072 0.739 0.293
V: 0.089 0.428 0.358
V: 0.151 0.611 0.608
V: 0.196 0.861 0.781
V: 0.208 0.538 0.829
V: 0.292 0.263 0.175
V: 0.305 0.941 0.224
V: 0.349 0.194 0.397
V: 0.411 0.374 0.647
V: 0.430 0.059 0.710
V: 0.468 0.311 0.879
V: 0.530 0.488 0.125
V: 0.574 0.745 0.299
V: 0.589 0.431 0.359
V: 0.652 0.612 0.609
V: 0.694 0.860 0.783
V: 0.705 0.537 0.830
V: 0.794 0.263 0.175
V: 0.805 0.941 0.224
V: 0.848 0.193 0.396
V: 0.911 0.373 0.646
V: 0.923 0.059 0.711
V: 0.970 0.313 0.879
O: 0.000 0.401 0.002
O: 0.029 0.647 0.119
O: 0.051 0.305 0.206
O: 0.063 0.922 0.256
O: 0.069 0.557 0.278
O: 0.097 0.247 0.390
O: 0.101 0.772 0.408
O: 0.117 0.523 0.470
O: 0.147 0.766 0.597
O: 0.165 0.414 0.667
O: 0.184 0.034 0.738
O: 0.187 0.674 0.752
O: 0.215 0.357 0.860
O: 0.228 0.891 0.898
O: 0.248 0.633 0.934
O: 0.252 0.168 0.070
O: 0.274 0.911 0.107
O: 0.285 0.444 0.144
O: 0.313 0.128 0.252
O: 0.315 0.765 0.263
O: 0.335 0.389 0.338
O: 0.340 0.039 0.408
O: 0.382 0.280 0.534
O: 0.403 0.557 0.614
O: 0.411 0.018 0.595
O: 0.430 0.241 0.724
O: 0.438 0.878 0.750
O: 0.449 0.495 0.799
O: 0.467 0.154 0.886
O: 0.500 0.399 0.003
O: 0.528 0.645 0.117
O: 0.549 0.304 0.200
O: 0.563 0.924 0.256
O: 0.570 0.561 0.282
O: 0.597 0.245 0.391
O: 0.602 0.787 0.414
O: 0.617 0.523 0.471
O: 0.651 0.766 0.600
O: 0.667 0.411 0.666
O: 0.686 0.039 0.748
O: 0.688 0.673 0.754
O: 0.714 0.355 0.860
O: 0.718 0.631 0.936
O: 0.720 0.888 0.900
O: 0.778 0.911 0.107
O: 0.781 0.168 0.070
O: 0.786 0.444 0.144
O: 0.812 0.128 0.252
O: 0.814 0.765 0.263
O: 0.832 0.389 0.338
O: 0.862 0.039 0.408
O: 0.884 0.279 0.534
O: 0.885 0.017 0.595
O: 0.903 0.556 0.614
O: 0.931 0.242 0.724
O: 0.937 0.880 0.753
O: 0.950 0.497 0.805
O: 0.974 0.155 0.886

The calculation puts the formation energy from raw total energies at -2318 meV/atom. For the total moment, the calculation gives 5.65 μB/f.u.

---

# 6
First-principles (PBEsol) data for a relaxed structure of SiSbW2Br, as listed in Alexandria.

Lattice parameters (Å, degrees): 4.725 4.725 4.603 90.00 90.00 90.00
Space group P4/mmm (No. 123)
One atom of each set of equivalent atoms:
Si: 0.000 0.000 0.000
Sb: 0.500 0.500 0.500
W: 0.000 0.500 0.000
Br: 0.000 0.000 0.500

The calculation puts the formation energy from raw total energies at 1656 meV/atom. For the total moment, the calculation gives 1.57 μB/f.u.